Record 1
This record from the Alexandria database describes a geometry-optimized Pm3SmAs3 structure. The functional is PBE.

Formation energy from the elements in eV per atom: -1.28
Crystal system: cubic
Total DFT energy (no corrections) in eV per atom: -5.981

a b c (Å): 8.959 8.959 8.959
angles (deg): 90.00 90.00 90.00
Space group P2_13 (No. 198)
Inequivalent atoms, fractional coordinates:
Pm1 0.066 0.434 0.566
Pm2 0.183 0.817 0.317
Pm3 0.184 0.184 0.184
Sm1 0.066 0.566 0.934
As1 0.000 0.251 0.875

***

Record 2
This record from the Alexandria database describes a geometry-optimized CrFeBi2 structure. The functional is PBE.

ΔE to the lowest computed polymorph in kJ/mol of formula units: 0.0
Formation energy from the elements in eV per atom: 0.64
Crystal system: cubic
Total DFT energy (no corrections) in eV per atom: -5.825

a b c (Å): 7.026 7.026 7.026
angles (deg): 90.00 90.00 90.00
Space group Fm-3m (No. 225)
Inequivalent atoms, fractional coordinates:
Cr1 0.000 0.000 0.000
Fe1 0.000 0.000 0.500
Bi1 0.250 0.250 0.250

***

Record 3
This record from the Alexandria database describes a geometry-optimized VPdPt14 structure. The functional is PBE.

Formation energy from the elements in eV per atom: -0.15
Crystal system: tetragonal
Total DFT energy (no corrections) in eV per atom: -6.329

a b c (Å): 5.631 5.631 7.789
angles (deg): 90.00 90.00 90.00
Space group P4/mmm (No. 123)
Inequivalent atoms, fractional coordinates:
V1 0.000 0.000 0.000
Pd1 0.500 0.500 0.000
Pt1 0.000 0.000 0.500
Pt2 0.000 0.500 0.000
Pt3 0.000 0.500 0.500
Pt4 0.246 0.246 0.243
Pt5 0.500 0.500 0.500

***

Record 4
This record from the Alexandria database describes a geometry-optimized AlFeTcW structure. The functional is PBE.

Formation energy from the elements in eV per atom: -0.26
Crystal system: cubic
Total DFT energy (no corrections) in eV per atom: -9.145

a b c (Å): 6.033 6.033 6.033
angles (deg): 90.00 90.00 90.00
Space group F-43m (No. 216)
Inequivalent atoms, fractional coordinates:
Al1 0.000 0.000 0.000
Fe1 0.250 0.250 0.250
Tc1 0.250 0.250 0.750
W1 0.000 0.000 0.500

***

Record 5
This record from the Alexandria database describes a geometry-optimized Pr2CuNi2Pt5 structure. The functional is PBE.

Formation energy from the elements in eV per atom: -0.63
Crystal system: tetragonal
Total DFT energy (no corrections) in eV per atom: -6.174

a b c (Å): 9.327 9.327 3.990
angles (deg): 90.00 90.00 90.00
Space group P4/mbm (No. 127)
Inequivalent atoms, fractional coordinates:
Pr1 0.180 0.320 0.000
Cu1 0.000 0.000 0.000
Ni1 0.119 0.619 0.000
Pt1 0.000 0.500 0.500
Pt2 0.062 0.795 0.500

***

Record 6
This record from the Alexandria database describes a geometry-optimized GdYLuAg structure. The functional is PBE.

Formation energy from the elements in eV per atom: 0.04
Crystal system: cubic
Total DFT energy (no corrections) in eV per atom: -6.940

a b c (Å): 7.583 7.583 7.583
angles (deg): 90.00 90.00 90.00
Space group F-43m (No. 216)
Inequivalent atoms, fractional coordinates:
Gd1 0.000 0.000 0.000
Y1 0.000 0.000 0.500
Lu1 0.250 0.250 0.250
Ag1 0.250 0.250 0.750

***

What is the formula in the fourth record? AlFeTcW

***

What is the total DFT energy (no corrections) in the fifth record? -6.174 eV per atom

***

What is the formula in the sixth record? GdYLuAg